## Hf8VSb2 (GGA-PBE)

Data for Hf8VSb2 after structural relaxation.

a = 8.706 Å, b = 8.706 Å, c = 7.488 Å
α = 109.34°, β = 109.34°, γ = 26.73°
Atoms (fractional coordinates):
Hf 0.038 0.038 0.276
Hf 0.144 0.144 0.712
Hf 0.326 0.326 0.575
Hf 0.418 0.418 0.043
Hf 0.582 0.582 0.957
Hf 0.674 0.674 0.425
Hf 0.856 0.856 0.288
Hf 0.962 0.962 0.724
V 0.500 0.500 0.500
Sb 0.208 0.208 0.166
Sb 0.792 0.792 0.834

Results
The raw formation energy is -0.145 eV/atom.